VASP calculation (PBE) on a relaxed structure of RuRh2Br.

Computed properties:
Calculated total energy, eV/atom: -5.656
Formation energy without anion corrections, eV/atom: 0.757
Energy above the lowest structure with this stoichiometry, meV per atom: 321

Cell lengths 4.7039, 4.7039, 2.8361 Å; angles 90.00, 90.00, 90.00 degrees
Space group P4/mmm (No. 123)
One atom of each set of equivalent atoms:
Ru 0.0000 0.0000 0.0000 [1 per cell]
Rh 0.0000 0.5000 0.5000 [2 per cell]
Br 0.5000 0.5000 0.0000 [1 per cell]